PBE-GGA HfFeGe, relaxed; magnetic moment = 0.0 μB per cell; formation enthalpy at 0 K = -550 meV per atom
1.0
6.511 0.000 0.000
-3.255 5.638 0.000
0.000 0.000 3.729
Fe Ge Hf
3 3 3
direct
0.239 0.000 0.000
0.761 0.761 0.000
0.000 0.239 0.000
0.667 0.333 0.000
0.333 0.667 0.000
0.000 0.000 0.500
0.418 0.418 0.500
0.582 0.000 0.500
0.000 0.582 0.500